# 1
## YMoRu2 (PBEsol)

Data for an optimized crystal structure of YMoRu2.

Output
**Crystal system**: monoclinic
**Energy above the most stable polymorph in this dataset**: 304 meV/atom
**Uncorrected energy**: -37.8 eV per formula unit
**N(E_F)**: 1.09 states/eV per atom
**Space group**: No. 12
**ΔH_f (0 K)**: 0.2927 eV/atom

Structure (extended XYZ):
```
8
Lattice="5.781 0.000 0.000 0.000 8.386 0.000 -0.967 0.000 2.681" Properties=species:S:1:pos:R:3 pbc="T T T"
Y 0.000 0.000 0.000
Y 2.890 4.193 0.000
Mo 0.000 4.193 0.000
Mo 2.890 0.000 0.000
Ru 0.962 2.096 1.341
Ru 0.962 6.289 1.341
Ru 3.852 2.096 1.341
Ru 3.852 6.289 1.341
```

***

# 2
## ZnMoRu2 (PBEsol)

Data for an optimized crystal structure of ZnMoRu2.

Output
**Crystal system**: orthorhombic
**Uncorrected energy**: -32.5 eV per formula unit
**N(E_F)**: 0.96 states/eV per atom
**Space group**: No. 47
**ΔH_f (0 K)**: 0.3027 eV/atom

Structure (extended XYZ):
```
4
Lattice="2.980 0.000 0.000 0.000 4.130 0.000 0.000 0.000 4.518" Properties=species:S:1:pos:R:3 pbc="T T T"
Zn 0.000 0.000 0.000
Mo 1.490 0.000 2.259
Ru 0.000 2.065 2.259
Ru 1.490 2.065 0.000
```

***

# 3
## ZnMo2Ru (PBEsol)

Data for an optimized crystal structure of ZnMo2Ru.

Output
**Crystal system**: trigonal
**Uncorrected energy**: -34.7 eV per formula unit
**N(E_F)**: 0.58 states/eV per atom
**Space group**: No. 166
**ΔH_f (0 K)**: 0.1414 eV/atom

Structure (extended XYZ):
```
12
Lattice="2.729 0.000 0.000 -1.365 2.364 0.000 0.000 0.000 26.932" Properties=species:S:1:pos:R:3 pbc="T T T"
Zn 0.000 0.000 0.000
Zn 0.000 1.576 17.955
Zn 1.365 0.788 8.977
Mo 0.000 0.000 6.672
Mo 0.000 0.000 20.260
Mo 0.000 1.576 11.282
Mo 0.000 1.576 24.627
Mo 1.365 0.788 2.305
Mo 1.365 0.788 15.650
Ru 0.000 0.000 13.466
Ru 0.000 1.576 4.489
Ru 1.365 0.788 22.443
```

***

# 4
## ZnMoRu2 (PBEsol)

Data for an optimized crystal structure of ZnMoRu2.

Output
**Crystal system**: tetragonal
**Uncorrected energy**: -33.8 eV per formula unit
**N(E_F)**: 0.60 states/eV per atom
**Space group**: No. 123
**ΔH_f (0 K)**: -0.0205 eV/atom

Structure (extended XYZ):
```
4
Lattice="3.036 0.000 0.000 0.000 3.036 0.000 0.000 0.000 5.972" Properties=species:S:1:pos:R:3 pbc="T T T"
Zn 0.000 0.000 0.000
Mo 0.000 0.000 2.986
Ru 1.518 1.518 1.478
Ru 1.518 1.518 4.495
```

***

# 5
## Zn2MoRu (PBEsol)

Data for an optimized crystal structure of Zn2MoRu.

Output
**Crystal system**: cubic
**Energy above the most stable polymorph in this dataset**: 60 meV/atom
**Uncorrected energy**: -25.0 eV per formula unit
**N(E_F)**: 0.16 states/eV per atom
**Space group**: No. 216
**ΔH_f (0 K)**: 0.0362 eV/atom

Structure (extended XYZ):
```
16
Lattice="6.042 0.000 0.000 0.000 6.042 0.000 0.000 0.000 6.042" Properties=species:S:1:pos:R:3 pbc="T T T"
Zn 0.000 0.000 0.000
Zn 0.000 3.021 3.021
Zn 1.510 1.510 1.510
Zn 1.510 4.531 4.531
Zn 3.021 0.000 3.021
Zn 3.021 3.021 0.000
Zn 4.531 1.510 4.531
Zn 4.531 4.531 1.510
Mo 0.000 0.000 3.021
Mo 0.000 3.021 0.000
Mo 3.021 0.000 0.000
Mo 3.021 3.021 3.021
Ru 1.510 1.510 4.531
Ru 1.510 4.531 1.510
Ru 4.531 1.510 1.510
Ru 4.531 4.531 4.531
```

***

# 6
## ZnMoRu2 (PBEsol)

Data for an optimized crystal structure of ZnMoRu2.

Output
**Crystal system**: orthorhombic
**Uncorrected energy**: -32.9 eV per formula unit
**N(E_F)**: 1.06 states/eV per atom
**Space group**: No. 65
**ΔH_f (0 K)**: 0.1911 eV/atom

Structure (extended XYZ):
```
8
Lattice="2.889 0.000 0.000 0.000 4.478 0.000 0.000 0.000 8.668" Properties=species:S:1:pos:R:3 pbc="T T T"
Zn 0.000 0.000 0.000
Zn 1.444 2.239 0.000
Mo 0.000 0.000 4.334
Mo 1.444 2.239 4.334
Ru 0.000 2.239 2.163
Ru 0.000 2.239 6.506
Ru 1.444 0.000 2.163
Ru 1.444 0.000 6.506
```

***

# 7
## Zn2Mo2Ru (PBEsol)

Data for an optimized crystal structure of Zn2Mo2Ru.

Output
**Crystal system**: tetragonal
**Uncorrected energy**: -33.9 eV per formula unit
**N(E_F)**: 0.72 states/eV per atom
**Space group**: No. 139
**ΔH_f (0 K)**: 0.5985 eV/atom

Structure (extended XYZ):
```
10
Lattice="3.319 0.000 0.000 0.000 3.319 0.000 0.000 0.000 13.883" Properties=species:S:1:pos:R:3 pbc="T T T"
Zn 0.000 1.659 3.471
Zn 0.000 1.659 10.412
Zn 1.659 0.000 3.471
Zn 1.659 0.000 10.412
Mo 0.000 0.000 1.239
Mo 0.000 0.000 12.644
Mo 1.659 1.659 5.702
Mo 1.659 1.659 8.181
Ru 0.000 0.000 6.941
Ru 1.659 1.659 0.000
```

***

# 8
## ZnMo2Ru (PBEsol)

Data for an optimized crystal structure of ZnMo2Ru.

Output
**Crystal system**: orthorhombic
**Uncorrected energy**: -34.7 eV per formula unit
**N(E_F)**: 0.92 states/eV per atom
**Space group**: No. 47
**ΔH_f (0 K)**: 0.1451 eV/atom

Structure (extended XYZ):
```
4
Lattice="3.763 0.000 0.000 0.000 3.786 0.000 0.000 0.000 3.982" Properties=species:S:1:pos:R:3 pbc="T T T"
Zn 0.000 0.000 0.000
Mo 0.000 1.893 1.991
Mo 1.882 0.000 1.991
Ru 1.882 1.893 0.000
```

***

# 9
## Zn2MoRu (PBEsol)

Data for an optimized crystal structure of Zn2MoRu.

Output
**Crystal system**: tetragonal
**Energy above the most stable polymorph in this dataset**: 0 meV/atom
**Uncorrected energy**: -25.2 eV per formula unit
**N(E_F)**: 0.43 states/eV per atom
**Space group**: No. 99
**ΔH_f (0 K)**: -0.0234 eV/atom

Structure (extended XYZ):
```
4
Lattice="2.932 0.000 0.000 0.000 2.932 0.000 0.000 0.000 6.530" Properties=species:S:1:pos:R:3 pbc="T T T"
Zn 0.000 0.000 0.000
Zn 1.466 1.466 1.573
Mo 0.000 0.000 3.392
Ru 1.466 1.466 4.874
```

***

# 10
## Zr2MoRu (PBEsol)

Data for an optimized crystal structure of Zr2MoRu.

Output
**Crystal system**: trigonal
**Uncorrected energy**: -39.7 eV per formula unit
**N(E_F)**: 1.20 states/eV per atom
**Space group**: No. 166
**ΔH_f (0 K)**: 0.1010 eV/atom

Structure (extended XYZ):
```
12
Lattice="3.146 0.000 0.000 -1.573 2.724 0.000 0.000 0.000 24.935" Properties=species:S:1:pos:R:3 pbc="T T T"
Zr 0.000 0.000 6.198
Zr 0.000 0.000 18.738
Zr 0.000 1.816 10.426
Zr 0.000 1.816 22.821
Zr 1.573 0.908 2.114
Zr 1.573 0.908 14.510
Mo 0.000 0.000 0.000
Mo 0.000 1.816 16.624
Mo 1.573 0.908 8.312
Ru 0.000 0.000 12.468
Ru 0.000 1.816 4.156
Ru 1.573 0.908 20.780
```

***

# 11
## Zr2MoRu (PBEsol)

Data for an optimized crystal structure of Zr2MoRu.

Output
**Crystal system**: tetragonal
**Uncorrected energy**: -41.3 eV per formula unit
**N(E_F)**: 0.82 states/eV per atom
**Space group**: No. 123
**ΔH_f (0 K)**: -0.2833 eV/atom

Structure (extended XYZ):
```
4
Lattice="3.247 0.000 0.000 0.000 3.247 0.000 0.000 0.000 6.598" Properties=species:S:1:pos:R:3 pbc="T T T"
Zr 0.000 0.000 1.620
Zr 0.000 0.000 4.978
Mo 1.623 1.623 3.299
Ru 1.623 1.623 0.000
```

***

# 12
## ZrMoRu2 (PBEsol)

Data for an optimized crystal structure of ZrMoRu2.

Output
**Crystal system**: cubic
**Energy above the most stable polymorph in this dataset**: 193 meV/atom
**Uncorrected energy**: -40.8 eV per formula unit
**N(E_F)**: 1.42 states/eV per atom
**Space group**: No. 216
**ΔH_f (0 K)**: 0.0884 eV/atom

Structure (extended XYZ):
```
16
Lattice="6.283 0.000 0.000 0.000 6.283 0.000 0.000 0.000 6.283" Properties=species:S:1:pos:R:3 pbc="T T T"
Zr 0.000 0.000 0.000
Zr 0.000 3.142 3.142
Zr 3.142 0.000 3.142
Zr 3.142 3.142 0.000
Mo 1.571 1.571 4.712
Mo 1.571 4.712 1.571
Mo 4.712 1.571 1.571
Mo 4.712 4.712 4.712
Ru 0.000 0.000 3.142
Ru 0.000 3.142 0.000
Ru 1.571 1.571 1.571
Ru 1.571 4.712 4.712
Ru 3.142 0.000 0.000
Ru 3.142 3.142 3.142
Ru 4.712 1.571 4.712
Ru 4.712 4.712 1.571
```

***

# 13
## Zr2MoRu (PBEsol)

Data for an optimized crystal structure of Zr2MoRu.

Output
**Crystal system**: monoclinic
**Uncorrected energy**: -40.4 eV per formula unit
**N(E_F)**: 0.86 states/eV per atom
**Space group**: No. 6
**ΔH_f (0 K)**: -0.0680 eV/atom

Structure (extended XYZ):
```
4
Lattice="2.965 0.000 0.000 0.000 4.536 0.000 -1.149 0.000 5.157" Properties=species:S:1:pos:R:3 pbc="T T T"
Zr 0.000 0.000 0.000
Zr -0.026 2.268 3.752
Mo 1.969 2.268 1.254
Ru 0.972 0.000 2.511
```

***

# 14
## ZrMoRu2 (PBEsol)

Data for an optimized crystal structure of ZrMoRu2.

Output
**Crystal system**: orthorhombic
**Energy above the most stable polymorph in this dataset**: 134 meV/atom
**Uncorrected energy**: -41.1 eV per formula unit
**N(E_F)**: 1.16 states/eV per atom
**Space group**: No. 47
**ΔH_f (0 K)**: 0.0298 eV/atom

Structure (extended XYZ):
```
4
Lattice="3.205 0.000 0.000 0.000 4.238 0.000 0.000 0.000 4.575" Properties=species:S:1:pos:R:3 pbc="T T T"
Zr 0.000 0.000 0.000
Mo 1.602 0.000 2.288
Ru 0.000 2.119 2.288
Ru 1.602 2.119 0.000
```

***

# 15
## Zr2MoRu (PBEsol)

Data for an optimized crystal structure of Zr2MoRu.

Output
**Crystal system**: orthorhombic
**Uncorrected energy**: -40.4 eV per formula unit
**N(E_F)**: 0.94 states/eV per atom
**Space group**: No. 71
**ΔH_f (0 K)**: -0.0596 eV/atom

Structure (extended XYZ):
```
8
Lattice="3.249 0.000 0.000 0.000 4.889 0.000 0.000 0.000 8.716" Properties=species:S:1:pos:R:3 pbc="T T T"
Zr 0.000 0.000 2.154
Zr 0.000 0.000 6.562
Zr 1.625 2.445 2.204
Zr 1.625 2.445 6.511
Mo 0.000 2.445 0.000
Mo 1.625 0.000 4.358
Ru 0.000 2.445 4.358
Ru 1.625 0.000 0.000
```

***

# 16
## ZrMoRu2 (PBEsol)

Data for an optimized crystal structure of ZrMoRu2.

Output
**Crystal system**: tetragonal
**Energy above the most stable polymorph in this dataset**: 0 meV/atom
**Uncorrected energy**: -41.6 eV per formula unit
**N(E_F)**: 1.19 states/eV per atom
**Space group**: No. 123
**ΔH_f (0 K)**: -0.1041 eV/atom

Structure (extended XYZ):
```
4
Lattice="2.991 0.000 0.000 0.000 2.991 0.000 0.000 0.000 7.040" Properties=species:S:1:pos:R:3 pbc="T T T"
Zr 0.000 0.000 0.000
Mo 0.000 0.000 3.520
Ru 1.495 1.495 1.955
Ru 1.495 1.495 5.086
```

***

# 17
## Mo15S19 (PBEsol)

Data for an optimized crystal structure of Mo15S19.

Output
**Crystal system**: hexagonal
**Uncorrected energy**: -284.2 eV per formula unit
**E_form (uncorrected)**: -0.72 eV per atom
**N(E_F)**: 0.62 states/eV per atom
**Space group**: No. 176

Structure (extended XYZ):
```
68
Lattice="9.116 0.000 0.000 -4.558 7.894 0.000 0.000 0.000 18.919" Properties=species:S:1:pos:R:3 pbc="T T T"
Mo -0.650 1.408 1.196
Mo -0.650 1.408 8.264
Mo -0.875 3.984 4.730
Mo -3.014 7.754 1.196
Mo -3.014 7.754 8.264
Mo -1.555 5.406 2.455
Mo -1.555 5.406 7.005
Mo 0.894 1.267 10.655
Mo 0.894 1.267 17.723
Mo 0.653 3.845 2.455
Mo 0.653 3.845 7.005
Mo -0.670 6.660 4.730
Mo 3.656 1.357 11.914
Mo 3.656 1.357 16.464
Mo 1.545 5.145 4.730
Mo 3.013 2.749 14.189
Mo 0.902 6.538 2.455
Mo 0.902 6.538 7.005
Mo 5.228 1.235 14.189
Mo 3.905 4.050 11.914
Mo 3.905 4.050 16.464
Mo 3.664 6.627 1.196
Mo 3.664 6.627 8.264
Mo 6.113 2.488 11.914
Mo 6.113 2.488 16.464
Mo 7.571 0.141 10.655
Mo 7.571 0.141 17.723
Mo 5.432 3.910 14.189
Mo 5.208 6.487 10.655
Mo 5.208 6.487 17.723
S 0.000 0.000 3.021
S 0.000 0.000 6.438
S 0.000 0.000 12.481
S 0.000 0.000 15.898
S -1.619 3.011 2.702
S -1.619 3.011 6.758
S -1.168 2.509 10.352
S -1.168 2.509 18.026
S -2.797 5.508 4.730
S -1.801 7.652 10.352
S -1.801 7.652 18.026
S 1.186 2.718 4.730
S 1.589 2.266 0.893
S 1.589 2.266 8.567
S 0.000 5.263 0.632
S 0.000 5.263 8.827
S 2.946 0.332 14.189
S -1.141 7.791 2.702
S -1.141 7.791 6.758
S 1.798 2.908 12.161
S 1.798 2.908 16.217
S 2.760 4.987 2.702
S 2.760 4.987 6.758
S 5.698 0.103 12.161
S 5.698 0.103 16.217
S 1.611 7.563 4.730
S 4.558 2.631 10.092
S 4.558 2.631 18.287
S 2.969 5.628 10.352
S 2.969 5.628 18.026
S 3.372 5.177 14.189
S 6.359 0.243 0.893
S 6.359 0.243 8.567
S 7.355 2.386 14.189
S 5.726 5.386 0.893
S 5.726 5.386 8.567
S 6.177 4.883 12.161
S 6.177 4.883 16.217
```

***

# 18
## Mo3S4 (PBEsol)

Data for an optimized crystal structure of Mo3S4.

Output
**Crystal system**: trigonal
**Uncorrected energy**: -58.2 eV per formula unit
**E_form (uncorrected)**: -0.76 eV per atom
**N(E_F)**: 0.58 states/eV per atom
**Space group**: No. 148

Structure (extended XYZ):
```
14
Lattice="4.558 2.631 3.612 -4.558 2.631 3.612 0.000 -5.263 3.612" Properties=species:S:1:pos:R:3 pbc="T T T"
Mo -1.553 -0.130 4.221
Mo 0.888 -1.280 4.221
Mo -0.664 -1.409 6.616
Mo 0.664 1.409 4.221
Mo -0.888 1.280 6.616
Mo 1.553 0.130 6.616
S -1.165 -2.508 4.535
S 0.000 0.000 2.387
S -2.754 -0.245 6.302
S -1.589 2.263 4.535
S 1.589 -2.263 6.302
S 2.754 0.245 4.535
S 0.000 0.000 8.450
S 1.165 2.508 6.302
```

***

# 19
## SbTe2MoS (PBEsol)

Data for an optimized crystal structure of SbTe2MoS.

Output
**Crystal system**: tetragonal
**Uncorrected energy**: -22.3 eV per formula unit
**E_form (uncorrected)**: 1.09 eV per atom
**N(E_F)**: 0.65 states/eV per atom
**Space group**: No. 123

Structure (extended XYZ):
```
5
Lattice="5.137 0.000 0.000 0.000 5.137 0.000 0.000 0.000 4.990" Properties=species:S:1:pos:R:3 pbc="T T T"
Sb 0.000 0.000 0.000
Te 0.000 2.569 2.495
Te 2.569 0.000 2.495
Mo 2.569 2.569 0.000
S 0.000 0.000 2.495
```

***

# 20
## Sc2MoS (PBEsol)

Data for an optimized crystal structure of Sc2MoS.

Output
**Crystal system**: trigonal
**Uncorrected energy**: -29.2 eV per formula unit
**E_form (uncorrected)**: 0.05 eV per atom
**N(E_F)**: 1.41 states/eV per atom
**Space group**: No. 166

Structure (extended XYZ):
```
12
Lattice="3.254 0.000 0.000 -1.627 2.818 0.000 0.000 0.000 26.640" Properties=species:S:1:pos:R:3 pbc="T T T"
Sc 0.000 0.000 2.406
Sc 0.000 0.000 24.234
Sc 0.000 1.879 15.354
Sc 0.000 1.879 20.166
Sc 1.627 0.939 6.474
Sc 1.627 0.939 11.286
Mo 0.000 0.000 13.320
Mo 0.000 1.879 4.440
Mo 1.627 0.939 22.200
S 0.000 0.000 0.000
S 0.000 1.879 17.760
S 1.627 0.939 8.880
```